(1)
# RbTmB2H8

An optimized crystal structure of RbTmB2H8 (PBE, the Alexandria database).

For the total energy, the calculation gives -145.22 eV for the cell shown.

The space group is R-3m (No. 166, hexagonal axes) and the conventional cell measures 4.0531, 4.0531 and 24.2589 Å, with angles of 90.00, 90.00 and 120.00 degrees. The asymmetric unit holds Rb at (0.0000, 0.0000, 0.0000), Tm at (0.0000, 0.0000, 0.5000), B at (0.0000, 0.0000, 0.2344), H at (0.0000, 0.0000, 0.2849) and H at (0.0017, 0.5008, 0.5499).

=====

(2)
# RbNaSr2H

An optimized crystal structure of RbNaSr2H (PBE, the Alexandria database).

For the total energy, the calculation gives -9.03 eV for the cell shown.

The space group is P4/mmm (No. 123) and the conventional cell measures 5.5720, 5.5720 and 6.5192 Å, with angles of 90.00, 90.00 and 90.00 degrees. The asymmetric unit holds Rb at (0.0000, 0.0000, 0.0000), Na at (0.5000, 0.5000, 0.0000), Sr at (0.0000, 0.5000, 0.5000) and H at (0.0000, 0.0000, 0.5000).

=====

(3)
# Sr2TaTl

An optimized crystal structure of Sr2TaTl (PBE, the Alexandria database).

As for the energy above the most stable polymorph in this dataset: 17 meV/atom. The energy relative to the elements is 545 meV per atom.

The space group is P4/mmm (No. 123) and the conventional cell measures 3.4345, 3.4345 and 10.0842 Å, with angles of 90.00, 90.00 and 90.00 degrees. The asymmetric unit holds Sr at (0.0000, 0.0000, 0.2446), Ta at (0.5000, 0.5000, 0.0000) and Tl at (0.5000, 0.5000, 0.5000).